The following is a PBE calculation of a relaxed structure of BeFe2Co, from Alexandria via LeMat-Bulk.

Cell: 2.411 2.411 7.480 Å, 90.00 90.00 105.87°
Site moments in Bohr magnetons follow the coordinates.
Atoms (fractional coordinates):
Fe 0.000 0.000 0.485  2.20
Co 0.500 0.500 0.750  1.72
Be 0.500 0.500 0.250  -0.09
Fe 0.000 0.000 0.015  2.20

Values from the calculation:
As for the formation energy: -0.02 eV/atom. As for the density of states at the Fermi level: 3.71 states/eV/cell. The raw total energy comes out at -6.9638 eV per atom.

The following is a PBE calculation of a relaxed structure of GeBiPd, from Alexandria via LeMat-Bulk.

Cell: 3.362 6.700 5.990 Å, 90.00 90.00 90.00°
Atoms (fractional coordinates):
Ge 0.000 0.602 0.903
Pd 0.500 0.721 0.618
Pd 0.000 0.279 0.118
Ge 0.500 0.398 0.403
Bi 0.500 0.123 0.771
Bi 0.000 0.877 0.271

Values from the calculation:
As for the formation energy: -0.19 eV/atom. As for the density of states at the Fermi level: 2.20 states/eV/cell. Its energy relative to the lowest polymorph listed for this composition is 25 meV per atom. The raw total energy comes out at -4.7566 eV per atom.

The following is a PBE calculation of a relaxed structure of V2OsRh8, from Alexandria via LeMat-Bulk.

Cell: 4.015 6.492 7.175 Å, 116.90 106.25 90.00°
Atoms (fractional coordinates):
Rh 0.349 0.138 0.698
Rh 0.651 0.862 0.302
Rh 0.000 0.295 0.000
Rh 0.155 0.155 0.310
Rh 0.000 0.705 0.000
Rh 0.349 0.559 0.698
Rh 0.651 0.441 0.302
V 0.199 0.699 0.399
Rh 0.845 0.845 0.690
Os 0.500 0.000 0.000
V 0.801 0.301 0.601

Values from the calculation:
As for the formation energy: -0.11 eV/atom. As for the density of states at the Fermi level: 11.78 states/eV/cell. The raw total energy comes out at -8.1344 eV per atom.

The following is a PBE calculation of a relaxed structure of CeHoP2, from Alexandria via LeMat-Bulk.

Cell: 3.969 3.969 7.334 Å, 74.30 74.30 60.00°
Site moments in Bohr magnetons follow the coordinates.
Atoms (fractional coordinates):
P 0.080 0.080 0.760  -0.02
Ho 0.670 0.670 0.991  0.03
Ce 0.497 0.497 0.508  0.68
P 0.253 0.253 0.241  -0.02

Values from the calculation:
As for the formation energy: -1.39 eV/atom. As for the density of states at the Fermi level: 5.10 states/eV/cell. Its energy relative to the lowest polymorph listed for this composition is 168 meV per atom. The raw total energy comes out at -6.7234 eV per atom.

The following is a PBE calculation of a relaxed structure of GeBi2W, from Alexandria via LeMat-Bulk.

Cell: 6.509 6.509 7.970 Å, 65.90 65.90 90.00°
Site moments in Bohr magnetons follow the coordinates.
Atoms (fractional coordinates):
W 0.750 0.250 0.500  1.60
Bi 0.375 0.358 0.750  -0.08
W 0.000 0.000 0.000  1.59
Bi 0.642 0.125 0.250  -0.07
Bi 0.108 0.625 0.250  -0.07
Ge 0.500 0.500 0.000  0.06
Ge 0.250 0.750 0.500  0.06
Bi 0.875 0.892 0.750  -0.08

Values from the calculation:
As for the formation energy: 1.11 eV/atom. As for the density of states at the Fermi level: 4.24 states/eV/cell. The raw total energy comes out at -5.2222 eV per atom.

The following is a PBE calculation of a relaxed structure of La2BeCd, from Alexandria via LeMat-Bulk.

Cell: 5.363 5.363 5.363 Å, 60.00 60.00 60.00°
Atoms (fractional coordinates):
Be 0.000 0.000 0.000
Cd 0.500 0.500 0.500
La 0.250 0.250 0.250
La 0.750 0.750 0.750

Values from the calculation:
As for the formation energy: 0.01 eV/atom. As for the density of states at the Fermi level: 4.62 states/eV/cell. Its energy relative to the lowest polymorph listed for this composition is 82 meV per atom. The raw total energy comes out at -3.6119 eV per atom.

Repeat the second record exactly.
The following is a PBE calculation of a relaxed structure of GeBiPd, from Alexandria via LeMat-Bulk.

Cell: 3.362 6.700 5.990 Å, 90.00 90.00 90.00°
Atoms (fractional coordinates):
Ge 0.000 0.602 0.903
Pd 0.500 0.721 0.618
Pd 0.000 0.279 0.118
Ge 0.500 0.398 0.403
Bi 0.500 0.123 0.771
Bi 0.000 0.877 0.271

Values from the calculation:
As for the formation energy: -0.19 eV/atom. As for the density of states at the Fermi level: 2.20 states/eV/cell. Its energy relative to the lowest polymorph listed for this composition is 25 meV per atom. The raw total energy comes out at -4.7566 eV per atom.